Material: LaDy2Zn2
Method: DFT, PBE
State: optimized geometry

Results
- Symmetry: P2_1/m (11)
- Final energy: -3.58 eV/atom
- DOS at the Fermi energy: 1.07 states/eV per atom

Cell: 3.6538 5.2971 13.5277 Å, 90.00 97.76 90.00°
Positions (direct):
1 La 0.8556 0.7500 0.7138
2 La 0.1444 0.2500 0.2862
3 Dy 0.0469 0.7500 0.0940
4 Dy 0.9531 0.2500 0.9060
5 Dy 0.2321 0.7500 0.4639
6 Dy 0.7679 0.2500 0.5361
7 Zn 0.6403 0.7500 0.2794
8 Zn 0.3597 0.2500 0.7206
9 Zn 0.4551 0.7500 0.9099
10 Zn 0.5449 0.2500 0.0901

---

Material: La3Dy2Zn3
Method: DFT, PBE
State: optimized geometry

Results
- Symmetry: Immm (71)
- Final energy: -3.71 eV/atom
- DOS at the Fermi energy: 1.16 states/eV per atom

Cell: 3.7214 5.4211 11.4983 Å, 103.63 99.31 90.00°
Positions (direct):
1 La 0.3804 0.3804 0.7607
2 La 0.6196 0.6196 0.2393
3 La 0.5000 0.0000 0.0000
4 Dy 0.2698 0.7698 0.5396
5 Dy 0.7302 0.2302 0.4604
6 Zn 0.8782 0.8782 0.7564
7 Zn 0.0000 0.5000 0.0000
8 Zn 0.1218 0.1218 0.2436

---

Material: LaDy4Zn
Method: DFT, PBE
State: optimized geometry

Results
- Symmetry: P4/mmm (123)
- DOS at the Fermi energy: 1.33 states/eV per atom
- Excess energy over the best structure of this formula in the dataset: 0.0000 eV per atom

Cell: 3.5983 3.5983 13.6827 Å, 90.00 90.00 90.00°
Positions (direct):
1 La 0.0000 0.0000 0.0000
2 Dy 0.5000 0.5000 0.1888
3 Dy 0.0000 0.0000 0.6279
4 Dy 0.0000 0.0000 0.3721
5 Dy 0.5000 0.5000 0.8112
6 Zn 0.5000 0.5000 0.5000

---

Material: LaDyZn3
Method: DFT, PBE
State: optimized geometry

Results
- Symmetry: Cmcm (63)
- Final energy: -3.00 eV/atom
- DOS at the Fermi energy: 0.99 states/eV per atom

Cell: 3.6427 4.6122 13.8324 Å, 90.00 97.57 90.00°
Positions (direct):
1 La 0.9255 0.7500 0.8510
2 La 0.0745 0.2500 0.1490
3 Dy 0.2098 0.7500 0.4196
4 Dy 0.7902 0.2500 0.5804
5 Zn 0.6223 0.7500 0.2446
6 Zn 0.3777 0.2500 0.7554
7 Zn 0.5239 0.7500 0.0477
8 Zn 0.4761 0.2500 0.9523
9 Zn 0.6765 0.2500 0.3530
10 Zn 0.3235 0.7500 0.6470

---

Material: LaDy2Zn3
Method: DFT, PBE
State: optimized geometry

Results
- Symmetry: P4/mmm (123)
- Final energy: -3.32 eV/atom
- DOS at the Fermi energy: 1.17 states/eV per atom

Cell: 3.6162 3.6162 10.9776 Å, 90.00 90.00 90.00°
Positions (direct):
1 La 0.5000 0.5000 0.5000
2 Dy 0.5000 0.5000 0.8396
3 Dy 0.5000 0.5000 0.1604
4 Zn 0.0000 0.0000 0.0000
5 Zn 0.0000 0.0000 0.6859
6 Zn 0.0000 0.0000 0.3141

---

Material: La3DyZn4
Method: DFT, PBE
State: optimized geometry

Results
- Symmetry: P4/mmm (123)
- Final energy: -3.37 eV/atom
- DOS at the Fermi energy: 1.26 states/eV per atom

Cell: 3.7051 3.7051 14.9092 Å, 90.00 90.00 90.00°
Positions (direct):
1 Zn 0.0000 0.0000 0.8910
2 Zn 0.0000 0.0000 0.1090
3 Zn 0.0000 0.0000 0.3731
4 Zn 0.0000 0.0000 0.6269
5 Dy 0.5000 0.5000 0.0000
6 La 0.5000 0.5000 0.2426
7 La 0.5000 0.5000 0.5000
8 La 0.5000 0.5000 0.7574

---

Material: LaDy2Zn6
Method: DFT, PBE
State: optimized geometry

Results
- Symmetry: P6/mmm (191)
- Final energy: -2.78 eV/atom
- DOS at the Fermi energy: 0.80 states/eV per atom

Cell: 3.5455 7.8642 7.8660 Å, 119.99 90.01 90.00°
Positions (direct):
1 La 0.0000 0.0000 0.0000
2 Dy 0.0001 0.3332 0.6665
3 Dy 0.9999 0.6668 0.3335
4 Zn 0.5003 0.3386 0.3385
5 Zn 0.4997 0.6614 0.6615
6 Zn 0.4997 0.0000 0.6615
7 Zn 0.5000 0.6614 0.0000
8 Zn 0.5000 0.3386 0.0000
9 Zn 0.5003 0.0000 0.3385

---

Material: LaDy4Zn5
Method: DFT, PBE
State: optimized geometry

Results
- Symmetry: P4/mmm (123)
- Final energy: -3.30 eV/atom
- DOS at the Fermi energy: 1.15 states/eV per atom

Cell: 3.5956 3.5956 18.1093 Å, 90.00 90.00 90.00°
Positions (direct):
1 La 0.0000 0.0000 0.0000
2 Dy 0.0000 0.0000 0.2073
3 Dy 0.0000 0.0000 0.4027
4 Dy 0.0000 0.0000 0.5973
5 Dy 0.0000 0.0000 0.7927
6 Zn 0.5000 0.5000 0.1136
7 Zn 0.5000 0.5000 0.3042
8 Zn 0.5000 0.5000 0.5000
9 Zn 0.5000 0.5000 0.6958
10 Zn 0.5000 0.5000 0.8864

---

Material: La2DyZn3
Method: DFT, PBE
State: optimized geometry

Results
- Symmetry: P-3m1 (164)
- DOS at the Fermi energy: 1.14 states/eV per atom
- Excess energy over the best structure of this formula in the dataset: 0.0036 eV per atom

Cell: 5.2280 5.2280 6.4243 Å, 90.00 90.00 120.00°
Positions (direct):
1 La 0.6667 0.3333 0.3245
2 La 0.3333 0.6667 0.6755
3 Dy 0.0000 0.0000 0.0000
4 Zn 0.0000 0.0000 0.5000
5 Zn 0.6667 0.3333 0.8391
6 Zn 0.3333 0.6667 0.1609

---

Material: LaDy4Zn
Method: DFT, PBE
State: optimized geometry

Results
- Symmetry: C2/c (15)
- DOS at the Fermi energy: 1.49 states/eV per atom
- Excess energy over the best structure of this formula in the dataset: 0.0899 eV per atom

Cell: 6.2437 9.0943 8.1323 Å, 114.68 100.23 111.65°
Positions (direct):
1 La 0.3518 0.6018 0.2036
2 La 0.6482 0.3982 0.7964
3 Dy 0.0325 0.1641 0.7842
4 Dy 0.7688 0.7153 0.6398
5 Dy 0.2517 0.6201 0.7842
6 Dy 0.3710 0.9245 0.6398
7 Dy 0.6290 0.0755 0.3602
8 Dy 0.7483 0.3799 0.2158
9 Dy 0.2312 0.2847 0.3602
10 Dy 0.9675 0.8359 0.2158
11 Zn 0.2497 0.9997 0.9994
12 Zn 0.7503 0.0003 0.0006

---

Material: LaDyZn4
Method: DFT, PBE
State: optimized geometry

Results
- Symmetry: F-43m (216)
- DOS at the Fermi energy: 0.38 states/eV per atom
- Excess energy over the best structure of this formula in the dataset: 0.0205 eV per atom

Cell: 5.5590 5.5590 5.5590 Å, 60.00 60.00 60.00°
Positions (direct):
1 Zn 0.6257 0.6257 0.1230
2 Zn 0.6257 0.1230 0.6257
3 Zn 0.6257 0.6257 0.6257
4 Zn 0.1230 0.6257 0.6257
5 La 0.2500 0.2500 0.2500
6 Dy 0.0000 0.0000 0.0000

---

Material: LaDyZn2
Method: DFT, PBE
State: optimized geometry

Results
- Symmetry: P4/mmm (123)
- Final energy: -3.34 eV/atom
- DOS at the Fermi energy: 1.19 states/eV per atom

Cell: 3.6316 3.6316 7.4480 Å, 90.00 90.00 90.00°
Positions (direct):
1 Zn 0.0000 0.0000 0.7761
2 Zn 0.0000 0.0000 0.2239
3 La 0.5000 0.5000 0.5000
4 Dy 0.5000 0.5000 0.0000

---

The lowest DOS at the Fermi energy belongs to which entry? LaDyZn4

---

Repeat the first record exactly.
Material: LaDy2Zn2
Method: DFT, PBE
State: optimized geometry

Results
- Symmetry: P2_1/m (11)
- Final energy: -3.58 eV/atom
- DOS at the Fermi energy: 1.07 states/eV per atom

Cell: 3.6538 5.2971 13.5277 Å, 90.00 97.76 90.00°
Positions (direct):
1 La 0.8556 0.7500 0.7138
2 La 0.1444 0.2500 0.2862
3 Dy 0.0469 0.7500 0.0940
4 Dy 0.9531 0.2500 0.9060
5 Dy 0.2321 0.7500 0.4639
6 Dy 0.7679 0.2500 0.5361
7 Zn 0.6403 0.7500 0.2794
8 Zn 0.3597 0.2500 0.7206
9 Zn 0.4551 0.7500 0.9099
10 Zn 0.5449 0.2500 0.0901

---

Copy entry 1 word for word.
Material: LaDy2Zn2
Method: DFT, PBE
State: optimized geometry

Results
- Symmetry: P2_1/m (11)
- Final energy: -3.58 eV/atom
- DOS at the Fermi energy: 1.07 states/eV per atom

Cell: 3.6538 5.2971 13.5277 Å, 90.00 97.76 90.00°
Positions (direct):
1 La 0.8556 0.7500 0.7138
2 La 0.1444 0.2500 0.2862
3 Dy 0.0469 0.7500 0.0940
4 Dy 0.9531 0.2500 0.9060
5 Dy 0.2321 0.7500 0.4639
6 Dy 0.7679 0.2500 0.5361
7 Zn 0.6403 0.7500 0.2794
8 Zn 0.3597 0.2500 0.7206
9 Zn 0.4551 0.7500 0.9099
10 Zn 0.5449 0.2500 0.0901

---

The highest DOS at the Fermi energy belongs to which entry? number 10